Density functional theory data (PBE-GGA) for crystalline SbPd2Au at its relaxed geometry.

Properties
spin magnetization: 0.0 μB/cell
SG: P4/mmm
energy relative to the elements, uncorrected: -0.23 eV per atom

Lattice parameters (Å, degrees): 3.1351 4.7683 4.7683 90.00 90.00 90.00
Last column: nearest neighbours and their distance in Å.
Sites, in units of the cell vectors:
Pd 0.0000 0.0000 0.5000  4 Sb 2.85, 4 Au 2.85, 2 Pd 3.14
Pd 0.0000 0.5000 0.0000  4 Sb 2.85, 4 Au 2.85, 2 Pd 3.14
Au 0.5000 0.0000 0.0000  8 Pd 2.85, 2 Au 3.14
Sb 0.5000 0.5000 0.5000  8 Pd 2.85, 2 Sb 3.14